# GGA-PBE Y4TlTe2P, relaxed
data_Y4TlTe2P
_cell_length_a 7.505
_cell_length_b 4.190
_cell_length_c 7.521
_cell_angle_alpha 90.00
_cell_angle_beta 108.34
_cell_angle_gamma 90.00
_symmetry_space_group_name_H-M 'P 1 2/m 1'
_symmetry_Int_Tables_number 10
loop_
_symmetry_equiv_pos_as_xyz
'x,y,z'
'-x,-y,-z'
'-x,y,-z'
'x,-y,z'
loop_
_atom_site_label
_atom_site_fract_x
_atom_site_fract_y
_atom_site_fract_z
Y1 0.227 0.000 0.218
Y2 0.242 0.500 0.765
Tl1 0.500 0.000 0.000
Te1 0.000 0.000 0.500
Te2 0.500 0.500 0.500
P1 0.000 0.500 0.000
# - energy relative to the elements, uncorrected (meV per atom) = -1163
# - crystal system = monoclinic

***

# GGA-PBE ZrTlTe2P, relaxed
data_ZrTlTe2P
_cell_length_a 5.641
_cell_length_b 5.641
_cell_length_c 4.927
_cell_angle_alpha 90.00
_cell_angle_beta 90.00
_cell_angle_gamma 90.00
_symmetry_space_group_name_H-M 'P 4/m m m'
_symmetry_Int_Tables_number 123
_symmetry_space_group_name_Hall '-P 4 2'
loop_
_atom_site_label
_atom_site_fract_x
_atom_site_fract_y
_atom_site_fract_z
Zr1 0.000 0.000 0.000
Tl1 0.500 0.500 0.500
Te1 0.000 0.500 0.500
P1 0.500 0.500 0.000
# - energy relative to the elements, uncorrected (meV per atom) = 981
# - crystal system = tetragonal

***

# GGA-PBE Tm5TeP4, relaxed
data_Tm5TeP4
_cell_length_a 3.993
_cell_length_b 5.712
_cell_length_c 20.176
_cell_angle_alpha 90.00
_cell_angle_beta 90.00
_cell_angle_gamma 90.00
_symmetry_space_group_name_H-M 'I m m m'
_symmetry_Int_Tables_number 71
_symmetry_space_group_name_Hall '-I 2 2'
loop_
_atom_site_label
_atom_site_fract_x
_atom_site_fract_y
_atom_site_fract_z
Tm1 0.000 0.000 0.000
Tm2 0.000 0.000 0.198
Tm3 0.000 0.000 0.386
Te1 0.000 0.500 0.000
P1 0.000 0.500 0.204
P2 0.000 0.500 0.400
# - energy relative to the elements, uncorrected (meV per atom) = -1543
# - crystal system = orthorhombic

***

| no. | calculated volume (Å³/f.u.) |
| --- | --- |
| 1 | 224.48 |
| 2 | 156.78 |
| 3 | 230.08 |